[1]
{"formula": "Tb2Si3", "functional": "PBEsol", "state": "optimized geometry", "lattice_angstrom": [[4.145, 0.000, 0.000], [0.000, 4.257, 0.000], [-2.073, 0.000, 11.868]], "species": ["Si", "Si", "Si", "Si", "Si", "Si", "Tb", "Tb", "Tb", "Tb"], "fractional_positions": [[0.068, 0.250, 0.136], [0.932, 0.750, 0.864], [0.164, 0.250, 0.328], [0.836, 0.750, 0.672], [0.520, 0.250, 0.040], [0.480, 0.750, 0.960], [0.385, 0.250, 0.770], [0.615, 0.750, 0.230], [0.748, 0.250, 0.495], [0.252, 0.750, 0.505]], "de_polymorph_mev_per_atom": 337, "raw_formation_energy_ev_per_atom": -0.3487, "spacegroup": "Cmcm (63)"}

=====

[2]
{"formula": "SrIrW", "functional": "PBEsol", "state": "optimized geometry", "lattice_angstrom": [[3.268, 0.000, 0.000], [0.000, 3.268, 0.000], [-1.634, -1.634, 6.114]], "species": ["Ir", "Sr", "W"], "fractional_positions": [[0.039, 0.039, 0.079], [0.336, 0.336, 0.672], [0.624, 0.624, 0.249]], "formation_energy_kj_per_mol_atoms": 38.1, "spacegroup": "I4mm (107)"}

=====

[3]
{"formula": "BaCeN2", "functional": "PBEsol", "state": "optimized geometry", "lattice_angstrom": [[3.652, 0.000, 0.000], [-1.826, 3.163, 0.000], [0.000, 0.000, 12.513]], "species": ["Ba", "Ba", "Ce", "Ce", "N", "N", "N", "N"], "fractional_positions": [[0.333, 0.667, 0.750], [0.667, 0.333, 0.250], [0.000, 0.000, 0.500], [0.000, 0.000, 0.000], [0.333, 0.667, 0.096], [0.667, 0.333, 0.596], [0.333, 0.667, 0.404], [0.667, 0.333, 0.904]], "raw_formation_energy_ev_per_atom": -1.1568, "spacegroup": "P6_3/mmc (194)"}

=====

What are the M_tot values for these records? In order: 0.000; 0.000; 0.000 μB per cell.